Material: CrAgO4
Method: DFT, GGA+U
State: relaxed

Calculated values
* energy above the lowest structure with this stoichiometry: 0.00 eV/f.u.

Geometry as POSCAR:
```
CrAgO4
1.0
-1.539 2.385 4.334
-3.653 -3.089 -1.989
2.536 -5.543 3.951
O Ag Cr
8 2 2
Direct
0.698 0.784 0.750
0.302 0.216 0.250
0.762 0.238 0.441
0.784 0.698 0.250
0.216 0.302 0.750
0.762 0.238 0.059
0.238 0.762 0.559
0.238 0.762 0.941
0.000 0.000 0.500
0.000 0.000 0.000
0.345 0.655 0.750
0.655 0.345 0.250
```